DFT (GGA+U) results for crystalline CaVSbO6 at its relaxed geometry.

abc: 5.1933 5.1933 10.1233
angles: 90.00 90.00 120.00
Space group P-31c (No. 163)
Inequivalent atoms, fractional coordinates:
Ca 0.0000 0.0000 0.0000 x2
V 0.3333 0.6667 0.2500 x2
Sb 0.3333 0.6667 0.7500 x2
O 0.0138 0.3814 0.1432 x12

Computed properties:
Calculated total energy, eV for the cell shown: -122.74